No. 1
GGA-PBE Ac3Hg13, optimized geometry; calculated formation energy = -302 meV per atom
1.0
6.9395 0.1030 0.0000
-3.1045 6.2072 0.0000
0.0000 0.0000 10.4258
Hg Ac
13 3
direct
0.7911 0.2089 0.0000
0.4951 0.5049 0.2431
0.7684 0.2316 0.5000
0.6830 0.7248 0.5000
0.3142 0.1996 0.0000
0.4830 0.0171 0.2634
0.1848 0.8152 0.5000
0.8004 0.6858 0.0000
0.9829 0.5170 0.2634
0.9829 0.5170 0.7366
0.4951 0.5049 0.7569
0.4830 0.0171 0.7366
0.2752 0.3170 0.5000
0.3028 0.6972 0.0000
0.9790 0.0210 0.7486
0.9790 0.0210 0.2514

***

No. 2
GGA-PBE TiCCl, optimized geometry; energy relative to the elements, uncorrected = -401 meV per atom
1.0
-1.7625 2.5194 -0.5281
-5.2274 -1.9877 7.9640
10.9796 7.5237 -0.7503
Cl C Ti
6 6 6
direct
0.7500 0.0095 0.2722
0.7500 0.5423 0.1616
0.2500 0.3812 0.5278
0.7500 0.6188 0.4722
0.2500 0.4577 0.8384
0.2500 0.9905 0.7278
0.2500 0.0132 0.0180
0.7500 0.6746 0.7489
0.2500 0.8500 0.4266
0.7500 0.9868 0.9820
0.2500 0.3254 0.2511
0.7500 0.1500 0.5734
0.7500 0.9211 0.5431
0.7500 0.4221 0.6880
0.2500 0.0789 0.4569
0.2500 0.5779 0.3120
0.2500 0.8270 0.8156
0.7500 0.1730 0.1844

***

No. 3
GGA-PBE ErMnTc2, optimized geometry; calculated formation energy = 430 meV per atom
1.0
2.9406 0.0000 0.0000
1.4703 2.5467 0.0000
1.4703 0.8489 8.8372
Er Mn Tc
1 1 2
direct
0.5000 0.5000 0.5000
0.0000 0.0000 0.0000
0.2609 0.2609 0.2174
0.7391 0.7391 0.7826

***

No. 4
GGA-PBE AcZnNi3Ir, optimized geometry; calculated formation energy = -8 meV per atom
1.0
5.3213 0.0000 0.0000
0.0000 6.5638 0.0000
0.0000 -3.2819 6.4861
Zn Ni Ir Ac
2 6 2 2
direct
0.7500 0.6254 0.2508
0.2500 0.3746 0.7492
0.2500 0.1957 0.3914
0.7500 0.8043 0.6086
0.0000 0.6850 0.0000
0.5000 0.6850 0.0000
0.5000 0.3150 0.0000
0.0000 0.3150 0.0000
0.7500 0.9843 0.9686
0.2500 0.0157 0.0314
0.2500 0.7767 0.5535
0.7500 0.2233 0.4465

***

No. 5
GGA-PBE V3GeMo, optimized geometry; relative energy among the computed polymorphs = 0 meV/atom; calculated formation energy = 5 meV per atom
1.0
6.9225 0.0000 0.0000
0.0000 6.9006 -0.7731
0.0000 -3.3199 6.4943
Mo Ge V
4 4 12
direct
0.5721 0.6878 0.7580
0.4279 0.3122 0.2420
0.9279 0.6878 0.2580
0.0721 0.3122 0.7420
0.7453 0.1027 0.0485
0.2547 0.8973 0.9515
0.7547 0.1027 0.5485
0.2453 0.8973 0.4515
0.8026 0.4247 0.4677
0.3026 0.5753 0.0323
0.9267 0.7252 0.9149
0.4267 0.2748 0.5851
0.5594 0.8938 0.1925
0.0733 0.2748 0.0851
0.5733 0.7252 0.4149
0.4406 0.1062 0.8075
0.1974 0.5753 0.5323
0.9406 0.8938 0.6925
0.0594 0.1062 0.3075
0.6974 0.4247 0.9677

***

No. 6
GGA-PBE CdHPd3, optimized geometry; relative energy among the computed polymorphs = 125 meV/atom
1.0
2.8642 0.0000 6.8564
-1.4321 2.4805 6.8564
-1.4321 -2.4805 6.8564
Cd Pd H
2 6 2
direct
0.3336 0.3336 0.3336
0.6664 0.6664 0.6664
0.1094 0.7756 0.4460
0.2244 0.5540 0.8906
0.8906 0.2244 0.5540
0.7756 0.4460 0.1094
0.4460 0.1094 0.7756
0.5540 0.8906 0.2244
0.0779 0.0779 0.0779
0.9221 0.9221 0.9221

***

No. 7
GGA-PBE SrPrSbO, optimized geometry; energy relative to the elements, uncorrected = -1981 meV per atom
1.0
4.7886 0.0000 0.0000
0.0000 4.7886 0.0000
0.0000 0.0000 9.3011
Sb Sr O Pr
2 2 2 2
direct
0.0000 0.5000 0.7830
0.5000 0.0000 0.2170
0.5000 0.0000 0.8418
0.0000 0.5000 0.1582
0.0000 0.5000 0.4273
0.5000 0.0000 0.5727
0.0000 0.0000 0.5000
0.5000 0.5000 0.5000

***

No. 8
GGA-PBE PtClF2, optimized geometry; relative energy among the computed polymorphs = 875 meV/atom; energy relative to the elements, uncorrected = 13 meV per atom
1.0
1.6385 0.0000 8.3384
-0.8193 1.4190 8.3384
-0.8193 -1.4190 8.3384
Cl F Pt
1 2 1
direct
0.0000 0.0000 0.0000
0.0725 0.0725 0.0725
0.9275 0.9275 0.9275
0.5000 0.5000 0.5000